1.
Material: CoB4Pd
Method: DFT, PBE
State: optimized geometry

Computed properties:
Symmetry: P6/mmm, No. 191
M_tot (μB/f.u.): 1.0
VASP energy (eV for the cell shown): -37.948

The structure in extended XYZ format:
```
6
Lattice="3.0237 0.0000 0.0000 -1.5118 2.6186 0.0000 0.0000 0.0000 6.4321" Properties=species:S:1:pos:R:3 pbc="T T T"
Co 0.0000 0.0000 0.0000
B 0.0000 1.7457 1.3911
B 0.0000 1.7457 5.0410
B 1.5118 0.8729 1.3911
B 1.5118 0.8729 5.0410
Pd 0.0000 0.0000 3.2161
```

2.
Material: CoB4Pd
Method: DFT, PBE
State: optimized geometry

Computed properties:
Symmetry: Immm, No. 71
M_tot (μB/f.u.): 1.4
VASP energy (eV for the cell shown): -37.496

The structure in extended XYZ format:
```
6
Lattice="-1.5048 2.6306 3.2596 1.5048 -2.6306 3.2596 1.5048 2.6306 -3.2596" Properties=species:S:1:pos:R:3 pbc="T T T"
Co 0.0000 0.0000 0.0000
B 1.5048 -0.8816 1.5515
B 1.5048 0.8816 1.5515
B 0.0000 1.7491 1.7082
B 0.0000 3.5122 1.7082
Pd 0.0000 0.0000 3.2596
```

no.,offset from the most stable computed form (kJ per mole of atoms)
1,0.0
2,7.3